Material: NaLi2Er
Method: DFT, PBE
State: relaxed

The calculation puts the formation enthalpy at 0 K at 158 meV/atom. Its space group is P4/mmm, No. 123. The energy above the most stable polymorph in this dataset is 0.000 eV per formula unit. The value obtained for the volume is 26.655 Å³ per atom.

a = 3.4640 Å, b = 3.4640 Å, c = 8.8854 Å
α = 90.00°, β = 90.00°, γ = 90.00°
Last column: nearest neighbours and their distance in Å.
Sites, in units of the cell vectors:
Na 0.5000 0.5000 0.0000  8 Li 3.30, 4 Na 3.46
Li 0.0000 0.0000 0.7513  4 Na 3.30, 4 Er 3.31, 4 Li 3.46
Li 0.0000 0.0000 0.2487  4 Na 3.30, 4 Er 3.31, 4 Li 3.46
Er 0.5000 0.5000 0.5000  8 Li 3.31, 4 Er 3.46

Material: NaLiEr
Method: DFT, PBE
State: relaxed

The calculation puts the formation enthalpy at 0 K at 171 meV/atom. Its space group is P3m1, No. 156. The energy above the most stable polymorph in this dataset is 0.256 eV per formula unit. The value obtained for the volume is 28.986 Å³ per atom.

a = 3.4015 Å, b = 3.4015 Å, c = 8.6783 Å
α = 90.00°, β = 90.00°, γ = 120.00°
Last column: nearest neighbours and their distance in Å.
Sites, in units of the cell vectors:
Er 0.0000 0.0000 0.0185  3 Li 3.30, 6 Er 3.40
Li 0.6667 0.3333 0.3241  3 Er 3.30, 6 Li 3.40, 3 Na 3.50
Na 0.3333 0.6667 0.6574  6 Na 3.40, 3 Li 3.50, 3 Er 3.70

Material: NaLiEr
Method: DFT, PBE
State: relaxed

The calculation puts the formation enthalpy at 0 K at 86 meV/atom. Its space group is P4/nmm, No. 129. The energy above the most stable polymorph in this dataset is 0.000 eV per formula unit. The value obtained for the volume is 29.153 Å³ per atom.

a = 3.4872 Å, b = 3.4872 Å, c = 14.3839 Å
α = 90.00°, β = 90.00°, γ = 90.00°
Last column: nearest neighbours and their distance in Å.
Sites, in units of the cell vectors:
Na 0.0000 0.5000 0.5988  4 Li 3.37, 8 Na 3.49-3.76
Na 0.5000 0.0000 0.4012  4 Li 3.37, 8 Na 3.49-3.76
Er 0.0000 0.5000 0.9172  4 Li 3.36, 8 Er 3.43-3.49
Er 0.5000 0.0000 0.0828  4 Li 3.36, 8 Er 3.43-3.49
Li 0.0000 0.5000 0.2415  4 Er 3.36, 4 Na 3.37, 4 Li 3.49
Li 0.5000 0.0000 0.7585  4 Er 3.36, 4 Na 3.37, 4 Li 3.49